Record 1
Ce4PuPt5, optimized geometry, DFT PBE-GGA; V = 248.22 Å³ per cell; magnetic moment = 0.723 μB per atom; raw total energy = -7.818 eV per atom; energy of formation from the pure elements = -956 kJ/mol of formula units
1.0
-4.614 4.614 2.915
4.614 -4.614 2.915
4.614 4.614 -2.915
Ce Pu Pt
4 1 5
Direct
0.098 0.300 0.399 Ce
0.300 0.902 0.202 Ce
0.700 0.098 0.798 Ce
0.902 0.700 0.601 Ce
0.499 0.499 0.000 Pu
0.201 0.600 0.801 Pt
0.400 0.201 0.601 Pt
0.600 0.799 0.399 Pt
0.799 0.400 0.199 Pt
0.999 0.999 0.000 Pt

Record 2
Er3Sn5As12, optimized geometry, DFT PBE-GGA; V = 2269.20 Å³ per cell; magnetic moment = 0.000 μB per atom; raw total energy = -4.718 eV per atom; energy of formation from the pure elements = -470 kJ/mol of formula units
1.0
-8.278 8.278 8.278
8.278 -8.278 8.278
8.278 8.278 -8.278
Er Sn As
12 20 48
Direct
0.125 0.250 0.375 Er
0.125 0.375 0.750 Er
0.250 0.375 0.125 Er
0.250 0.875 0.625 Er
0.375 0.125 0.250 Er
0.375 0.750 0.125 Er
0.625 0.250 0.875 Er
0.625 0.875 0.750 Er
0.750 0.125 0.375 Er
0.750 0.625 0.875 Er
0.875 0.625 0.250 Er
0.875 0.750 0.625 Er
0.000 0.000 0.000 Sn
0.000 0.000 0.500 Sn
0.000 0.500 0.000 Sn
0.000 0.500 0.500 Sn
0.125 0.750 0.875 Sn
0.125 0.875 0.250 Sn
0.250 0.125 0.875 Sn
0.250 0.625 0.375 Sn
0.375 0.250 0.625 Sn
0.375 0.625 0.750 Sn
0.500 0.000 0.000 Sn
0.500 0.000 0.500 Sn
0.500 0.500 0.000 Sn
0.500 0.500 0.500 Sn
0.625 0.375 0.250 Sn
0.625 0.750 0.375 Sn
0.750 0.375 0.625 Sn
0.750 0.875 0.125 Sn
0.875 0.125 0.750 Sn
0.875 0.250 0.125 Sn
0.071 0.251 0.154 As
0.071 0.320 0.916 As
0.084 0.654 0.403 As
0.084 0.929 0.680 As
0.097 0.751 0.680 As
0.097 0.846 0.416 As
0.154 0.071 0.251 As
0.154 0.584 0.903 As
0.180 0.251 0.597 As
0.180 0.429 0.584 As
0.249 0.320 0.903 As
0.249 0.429 0.346 As
0.251 0.154 0.071 As
0.251 0.597 0.180 As
0.320 0.903 0.249 As
0.320 0.916 0.071 As
0.346 0.249 0.429 As
0.346 0.597 0.916 As
0.403 0.084 0.654 As
0.403 0.820 0.749 As
0.416 0.097 0.846 As
0.416 0.820 0.571 As
0.429 0.346 0.249 As
0.429 0.584 0.180 As
0.571 0.416 0.820 As
0.571 0.654 0.751 As
0.584 0.180 0.429 As
0.584 0.903 0.154 As
0.597 0.180 0.251 As
0.597 0.916 0.346 As
0.654 0.403 0.084 As
0.654 0.751 0.571 As
0.680 0.084 0.929 As
0.680 0.097 0.751 As
0.749 0.403 0.820 As
0.749 0.846 0.929 As
0.751 0.571 0.654 As
0.751 0.680 0.097 As
0.820 0.571 0.416 As
0.820 0.749 0.403 As
0.846 0.416 0.097 As
0.846 0.929 0.749 As
0.903 0.154 0.584 As
0.903 0.249 0.320 As
0.916 0.071 0.320 As
0.916 0.346 0.597 As
0.929 0.680 0.084 As
0.929 0.749 0.846 As

Record 3
BaCoP2, optimized geometry, DFT PBE-GGA; V = 187.75 Å³ per cell; magnetic moment = 0.000 μB per atom; raw total energy = -5.424 eV per atom; energy of formation from the pure elements = -178 kJ/mol of formula units; energy above the lowest structure with this stoichiometry = 145 meV/atom
1.0
4.014 0.000 0.000
0.000 3.973 0.000
0.000 0.000 11.772
Ba Co P
2 2 4
Direct
0.000 0.000 0.000 Ba
0.000 0.500 0.500 Ba
0.500 0.000 0.769 Co
0.500 0.500 0.269 Co
0.000 0.000 0.719 P
0.000 0.500 0.219 P
0.500 0.000 0.355 P
0.500 0.500 0.855 P

Record 4
CeAsPdO, optimized geometry, DFT PBE-GGA; V = 150.80 Å³ per cell; ΔE_f (raw) = -1.47 eV per atom; magnetic moment = 0.218 μB per atom; raw total energy = -6.656 eV per atom
1.0
3.378 0.000 0.000
0.000 3.378 0.000
0.000 0.000 13.213
Ce As Pd O
2 2 2 2
Direct
0.000 0.000 0.000 Ce
0.500 0.500 0.500 Ce
0.000 0.000 0.258 As
0.500 0.500 0.758 As
0.000 0.000 0.686 Pd
0.500 0.500 0.186 Pd
0.000 0.000 0.496 O
0.500 0.500 0.996 O

Record 5
Ho3Ag, optimized geometry, DFT PBE-GGA; V = 107.59 Å³ per cell; magnetic moment = 0.000 μB per atom; raw total energy = -4.131 eV per atom; energy of formation from the pure elements = 6 kJ/mol of formula units; energy above the lowest structure with this stoichiometry = 131 meV/atom
1.0
4.756 0.000 0.000
0.000 4.756 0.000
0.000 0.000 4.756
Ho Ag
3 1
Direct
0.000 0.000 0.500 Ho
0.000 0.500 0.000 Ho
0.500 0.000 0.000 Ho
0.500 0.500 0.500 Ag

Record 6
PaInTcRh, optimized geometry, DFT PBE-GGA; V = 303.30 Å³ per cell; magnetic moment = 0.000 μB per atom; raw total energy = -7.860 eV per atom; energy of formation from the pure elements = -143 kJ/mol of formula units; energy above the lowest structure with this stoichiometry = 117 meV/atom
1.0
6.719 0.000 0.000
0.000 6.719 0.000
0.000 0.000 6.719
Pa In Tc Rh
4 4 4 4
Direct
0.000 0.000 0.000 Pa
0.000 0.500 0.500 Pa
0.500 0.000 0.500 Pa
0.500 0.500 0.000 Pa
0.000 0.000 0.500 In
0.000 0.500 0.000 In
0.500 0.000 0.000 In
0.500 0.500 0.500 In
0.250 0.250 0.250 Tc
0.250 0.750 0.750 Tc
0.750 0.250 0.750 Tc
0.750 0.750 0.250 Tc
0.250 0.250 0.750 Rh
0.250 0.750 0.250 Rh
0.750 0.250 0.250 Rh
0.750 0.750 0.750 Rh